Density functional theory data (GGA-PBE) for a relaxed Gd2Mg crystal.

It has space group Cmcm (No. 63), with a = 3.721 Å, b = 17.261 Å, c = 5.527 Å, α = 90.00°, β = 90.00° and γ = 90.00°. The asymmetric unit holds Gd at (0.000, 0.090, 0.250), Gd at (0.000, 0.228, 0.750) and Mg at (0.000, 0.432, 0.250).

For the formation energy, the calculation gives -65 meV per atom. The value obtained for the excess energy over the best structure of this formula in the dataset is 0.0000 eV per atom. Its density of states at the Fermi level is 15.5 states/eV/cell.



Density functional theory data (GGA-PBE) for a relaxed YTcPt crystal.

It has space group F-43m (No. 216), with a = 6.464 Å, b = 6.464 Å, c = 6.464 Å, α = 90.00°, β = 90.00° and γ = 90.00°. The asymmetric unit holds Y at (0.000, 0.000, 0.000), Tc at (0.250, 0.250, 0.750) and Pt at (0.250, 0.250, 0.250).

For the formation energy, the calculation gives 619 meV per atom. The value obtained for the excess energy over the best structure of this formula in the dataset is 0.9095 eV per atom. Its density of states at the Fermi level is 19.3 states/eV/cell.



Density functional theory data (GGA-PBE) for a relaxed Na4Np3VS8 crystal.

It has space group R-3m (No. 166, hexagonal axes), with a = 7.7855 Å, b = 7.7855 Å, c = 20.0989 Å, α = 90.00°, β = 90.00° and γ = 120.00°. The asymmetric unit holds Na at (0.0000, 0.0000, 0.0000), Na at (0.0000, 0.5000, 0.0000), Np at (0.0000, 0.5000, 0.5000), V at (0.0000, 0.0000, 0.5000), S at (0.0000, 0.0000, 0.2439) and S at (0.0164, 0.5082, 0.2402).

The calculation puts the uncorrected formation energy at -1.271 eV/atom. Its density of states at the Fermi level is 81.6 states/eV/cell.



Density functional theory data (GGA-PBE) for a relaxed Mg2SiAu crystal.

It has space group I4/mmm (No. 139), with a = 4.373 Å, b = 4.373 Å, c = 7.486 Å, α = 90.00°, β = 90.00° and γ = 90.00°. The asymmetric unit holds Mg at (0.000, 0.500, 0.250), Si at (0.000, 0.000, 0.000) and Au at (0.000, 0.000, 0.500).

The calculation puts the uncorrected formation energy at -0.231 eV/atom. Its density of states at the Fermi level is 2.1 states/eV/cell.



Number 1: energy -9.98 eV/atom. Number 2: energy -7.00 eV/atom. Number 3: energy -6.66 eV/atom. Number 4: energy -3.20 eV/atom.